Computed, not measured: an optimized crystal structure of Li3OsBr at the GGA-PBEsol level of DFT.

Results
magnetic moment: 2.0 Bohr magnetons per cell
crystal system: cubic
formation energy (no corrections): 0.641 eV/atom
total DFT energy (no corrections): -3.36 eV per atom

a = 4.5699 Å, b = 4.5699 Å, c = 4.5699 Å
α = 90.00°, β = 90.00°, γ = 90.00°
Space group Pm-3m (No. 221)
Asymmetric unit:
Li 0.0000 0.0000 0.5000 x3
Os 0.5000 0.5000 0.5000 x1
Br 0.0000 0.0000 0.0000 x1